Entry 1:
A plane-wave DFT calculation with PBE was carried out for a relaxed structure of CrAgTe2.

abc: 5.7768 5.1475 4.5161
angles: 72.62 75.56 116.86
Last column: nearest neighbours and their distance in Å.
Element x y z (fractional)
Ag: 0.0000 0.5000 0.5000  4 Te 2.87, 2 Cr 3.19
Cr: 0.5000 0.5000 0.0000  4 Te 2.87, 2 Ag 3.19
Te: 0.0000 0.0000 0.0000  2 Ag 2.87, 2 Cr 2.87, 2 Te 3.19
Te: 0.5000 0.0000 0.5000  2 Cr 2.87, 2 Ag 2.87, 2 Te 3.19

* V: 102.0 Å³ per cell
* space group: C2/m, No. 12
* uncorrected energy: -4.475 eV/atom
* magnetic moment: 4.33 μB per formula unit
* ΔE_f (raw): 83 kJ/mol of formula units

=====

Entry 2:
A plane-wave DFT calculation with PBE was carried out for a relaxed structure of Y2ZrRh.

abc: 6.1356 6.1356 5.2011
angles: 64.91 64.91 33.56
Last column: nearest neighbours and their distance in Å.
Element x y z (fractional)
Y: 0.9597 0.9597 0.0403  2 Rh 2.92
Y: 0.7523 0.7523 0.7476  4 Rh 3.15, 2 Zr 3.37, 2 Y 3.40
Rh: 0.2388 0.2388 0.2614  2 Zr 2.67, 2 Y 2.92
Zr: 0.5492 0.5492 0.4507  2 Rh 2.67

* V: 97.1 Å³ per cell
* energy above the most stable polymorph in this dataset: 0.0 meV/atom
* space group: Imm2, No. 44
* formation energy: -0.39 eV per atom
* uncorrected energy: -7.600 eV/atom
* magnetic moment: 0.00 μB per formula unit

=====

Entry 3:
A plane-wave DFT calculation with PBE was carried out for a relaxed structure of TiBeAs2Br.

abc: 4.3837 4.3837 5.0789
angles: 90.00 90.00 90.00
Last column: nearest neighbours and their distance in Å.
Element x y z (fractional)
Be: 0.0000 0.0000 0.0000  4 As 2.19
As: 0.0000 0.5000 0.0000  2 Be 2.19
As: 0.5000 0.0000 0.0000  2 Be 2.19
Br: 0.0000 0.0000 0.5000  2 Be 2.54
Ti: 0.5000 0.5000 0.5000  4 Br 3.10, 8 As 3.35

* V: 97.6 Å³ per cell
* energy above the most stable polymorph in this dataset: 0.0 meV/atom
* space group: P4/mmm, No. 123
* uncorrected energy: -4.104 eV/atom
* magnetic moment: 0.06 μB per formula unit
* ΔE_f (raw): 200 kJ/mol of formula units

=====

Entry 4:
A plane-wave DFT calculation with PBE was carried out for a relaxed structure of AgBr3.

abc: 8.4175 8.4175 8.4175
angles: 29.96 29.96 29.96
Last column: nearest neighbours and their distance in Å.
Element x y z (fractional)
Br: 0.0000 0.0000 0.0000  2 Br 2.58
Br: 0.8928 0.8928 0.8928  1 Br 2.58, 3 Ag 2.89
Br: 0.1072 0.1072 0.1072  1 Br 2.58, 3 Ag 2.89
Ag: 0.5000 0.5000 0.5000  6 Br 2.89

* V: 131.7 Å³ per cell
* space group: R-3m, No. 166
* uncorrected energy: -2.118 eV/atom
* magnetic moment: 0.00 μB per formula unit
* ΔE_f (raw): -58 kJ/mol of formula units

=====

Entry 5:
A plane-wave DFT calculation with PBE was carried out for a relaxed structure of TbCePmZr.

abc: 5.4801 5.4801 5.4801
angles: 60.00 60.00 60.00
Last column: nearest neighbours and their distance in Å.
Element x y z (fractional)
Tb: 0.7500 0.7500 0.7500  4 Ce 3.36, 4 Pm 3.36
Zr: 0.2500 0.2500 0.2500  4 Ce 3.36, 4 Pm 3.36
Ce: 0.5000 0.5000 0.5000  4 Tb 3.36, 4 Zr 3.36
Pm: 0.0000 0.0000 0.0000  4 Zr 3.36, 4 Tb 3.36

* V: 116.4 Å³ per cell
* space group: F-43m, No. 216
* formation energy: 0.24 eV per atom
* uncorrected energy: -5.727 eV/atom
* magnetic moment: 0.67 μB per formula unit

=====

Entry 6:
A plane-wave DFT calculation with PBE was carried out for a relaxed structure of PrAg2Au2.

abc: 5.0209 6.0316 8.4796
angles: 94.31 72.38 66.26
Last column: nearest neighbours and their distance in Å.
Element x y z (fractional)
Pr: 0.0000 0.7499 0.2500  6 Au 3.12-3.14, 8 Ag 3.36-3.40
Pr: 0.0000 0.2501 0.7500  6 Au 3.12-3.14, 8 Ag 3.36-3.40
Ag: 0.7466 0.3281 0.1742  5 Au 2.90-2.98, 2 Ag 2.97-3.04
Ag: 0.7465 0.8283 0.6743  5 Au 2.90-2.98, 2 Ag 2.97-3.04
Ag: 0.2535 0.1717 0.3257  5 Au 2.90-2.98, 2 Ag 2.97-3.04
Ag: 0.2534 0.6719 0.8258  5 Au 2.90-2.98, 2 Ag 2.97-3.04
Au: 0.6173 0.7537 0.0190  1 Au 2.81, 5 Ag 2.90-2.98, 3 Pr 3.12-3.14
Au: 0.6174 0.2537 0.5189  1 Au 2.81, 5 Ag 2.90-2.98, 3 Pr 3.12-3.14
Au: 0.3827 0.2463 0.9810  1 Au 2.81, 5 Ag 2.90-2.98, 3 Pr 3.12-3.14
Au: 0.3826 0.7463 0.4811  1 Au 2.81, 5 Ag 2.90-2.98, 3 Pr 3.12-3.14

* V: 218.2 Å³ per cell
* space group: P-1, No. 2
* formation energy: -0.40 eV per atom
* uncorrected energy: -3.808 eV/atom
* magnetic moment: 0.00 μB per formula unit

=====

Entry 7:
A plane-wave DFT calculation with PBE was carried out for a relaxed structure of VBiAu3.

abc: 4.9624 4.9624 4.9624
angles: 90.00 90.00 90.00
Last column: nearest neighbours and their distance in Å.
Element x y z (fractional)
Au: 0.0000 0.5000 0.0000  2 V 2.48
Au: 0.0000 0.0000 0.5000  2 V 2.48
Au: 0.5000 0.0000 0.0000  2 V 2.48
Bi: 0.5000 0.5000 0.5000  12 Au 3.51
V: 0.0000 0.0000 0.0000  6 Au 2.48

* V: 122.2 Å³ per cell
* energy above the most stable polymorph in this dataset: 0.0 meV/atom
* space group: Pm-3m, No. 221
* formation energy: 0.67 eV per atom
* uncorrected energy: -3.892 eV/atom
* magnetic moment: 2.63 μB per formula unit

=====

Entry 8:
A plane-wave DFT calculation with PBE was carried out for a relaxed structure of HfTaPd6.

abc: 3.9922 3.9922 7.9930
angles: 90.00 90.00 90.00
Last column: nearest neighbours and their distance in Å.
Element x y z (fractional)
Hf: 0.0000 0.0000 0.0000  12 Pd 2.82-2.85
Ta: 0.0000 0.0000 0.5000  12 Pd 2.80-2.82
Pd: 0.5000 0.5000 0.0000  4 Hf 2.82, 8 Pd 2.85
Pd: 0.5000 0.5000 0.5000  8 Pd 2.80, 4 Ta 2.82
Pd: 0.5000 0.0000 0.2538  2 Ta 2.80, 8 Pd 2.80-2.85, 2 Hf 2.85
Pd: 0.5000 0.0000 0.7462  8 Pd 2.80-2.85, 2 Ta 2.80, 2 Hf 2.85
Pd: 0.0000 0.5000 0.2538  2 Ta 2.80, 8 Pd 2.80-2.85, 2 Hf 2.85
Pd: 0.0000 0.5000 0.7462  2 Ta 2.80, 8 Pd 2.80-2.85, 2 Hf 2.85

* V: 127.4 Å³ per cell
* space group: P4/mmm, No. 123
* formation energy: -0.57 eV per atom
* uncorrected energy: -7.193 eV/atom
* magnetic moment: 0.04 μB per formula unit

=====

Entry 9:
A plane-wave DFT calculation with PBE was carried out for a relaxed structure of Zr2TiAgH.

abc: 4.4274 4.4274 4.1675
angles: 90.00 90.00 90.00
Last column: nearest neighbours and their distance in Å.
Element x y z (fractional)
H: 0.0000 0.0000 0.0000  2 Ti 2.08, 4 Zr 2.21
Zr: 0.0000 0.5000 0.0000  2 H 2.21
Zr: 0.5000 0.0000 0.0000  2 H 2.21
Ag: 0.5000 0.5000 0.5000  8 Zr 3.04, 4 Ti 3.13
Ti: 0.0000 0.0000 0.5000  2 H 2.08

* V: 81.7 Å³ per cell
* energy above the most stable polymorph in this dataset: 0.0 meV/atom
* space group: P4/mmm, No. 123
* uncorrected energy: -6.353 eV/atom
* magnetic moment: 0.00 μB per formula unit

=====

Entry 10:
A plane-wave DFT calculation with PBE was carried out for a relaxed structure of YBr.

abc: 6.5377 6.5377 6.5377
angles: 90.00 90.00 90.00
Last column: nearest neighbours and their distance in Å.
Element x y z (fractional)
Y: 0.0000 0.0000 0.0000  4 Br 2.83
Y: 0.0000 0.5000 0.5000  4 Br 2.83
Y: 0.5000 0.0000 0.5000  4 Br 2.83
Y: 0.5000 0.5000 0.0000  4 Br 2.83
Br: 0.2500 0.2500 0.2500  4 Y 2.83
Br: 0.2500 0.7500 0.7500  4 Y 2.83
Br: 0.7500 0.2500 0.7500  4 Y 2.83
Br: 0.7500 0.7500 0.2500  4 Y 2.83

* V: 279.4 Å³ per cell
* space group: F-43m, No. 216
* uncorrected energy: -4.603 eV/atom
* magnetic moment: 0.00 μB per formula unit
* ΔE_f (raw): -103 kJ/mol of formula units

=====

Entry 11:
A plane-wave DFT calculation with PBE was carried out for a relaxed structure of AgIO3.

abc: 4.0833 4.0833 4.0833
angles: 90.00 90.00 90.00
Last column: nearest neighbours and their distance in Å.
Element x y z (fractional)
I: 0.5000 0.5000 0.5000  12 O 2.89
O: 0.0000 0.5000 0.0000  2 Ag 2.04
O: 0.0000 0.0000 0.5000  2 Ag 2.04
O: 0.5000 0.0000 0.0000  2 Ag 2.04
Ag: 0.0000 0.0000 0.0000  6 O 2.04

* V: 68.1 Å³ per cell
* space group: Pm-3m, No. 221
* uncorrected energy: -3.228 eV/atom
* magnetic moment: 0.00 μB per formula unit
* ΔE_f (raw): 303 kJ/mol of formula units

=====

Entry 12:
A plane-wave DFT calculation with PBE was carried out for a relaxed structure of ZrZnAg2N.

abc: 5.2957 5.2879 5.2957
angles: 90.00 90.00 90.00
Last column: nearest neighbours and their distance in Å.
Element x y z (fractional)
Zn: 0.0000 0.5000 0.0000  2 Zr 2.64
Zr: 0.0000 0.0000 0.0000  2 Zn 2.64, 4 Ag 2.65
Ag: 0.0000 0.0000 0.5000  2 Zr 2.65
Ag: 0.5000 0.0000 0.0000  2 Zr 2.65
N: 0.5000 0.5000 0.5000  8 Ag 3.74, 4 Zn 3.74

* V: 148.3 Å³ per cell
* space group: P4/mmm, No. 123
* uncorrected energy: -2.432 eV/atom
* magnetic moment: 0.73 μB per formula unit
* ΔE_f (raw): 1128 kJ/mol of formula units

=====

Q: magnetic moment of number 6 (PrAg2Au2)?
A: 0.00 μB per formula unit

=====

Q: Among the records above, which one has the highest uncorrected energy?
A: AgBr3

=====

Q: Which of these has the highest V?
A: YBr